Here is a relaxed CrP4O12 crystal from Alexandria. Energies are from PBE+U.

Unit cell a=5.166 b=13.558 c=7.546 alpha=90.00 beta=100.83 gamma=90.00
Element x y z (fractional)
1 Cr 0.003 0.000 0.006
2 Cr 0.997 0.500 0.994
3 P 0.283 0.587 0.366
4 P 0.366 0.948 0.395
5 P 0.474 0.364 0.929
6 P 0.478 0.137 0.938
7 P 0.522 0.637 0.062
8 P 0.526 0.864 0.071
9 P 0.634 0.448 0.605
10 P 0.717 0.087 0.634
11 O 0.126 0.674 0.399
12 O 0.130 0.505 0.247
13 O 0.145 0.997 0.260
14 O 0.202 0.379 0.971
15 O 0.208 0.122 0.983
16 O 0.295 0.895 0.549
17 O 0.297 0.582 0.948
18 O 0.304 0.922 0.961
19 O 0.424 0.537 0.548
20 O 0.449 0.751 0.039
21 O 0.464 0.379 0.718
22 O 0.467 0.116 0.728
23 O 0.533 0.616 0.272
24 O 0.536 0.879 0.282
25 O 0.551 0.251 0.961
26 O 0.576 0.037 0.452
27 O 0.696 0.422 0.039
28 O 0.703 0.082 0.052
29 O 0.705 0.395 0.451
30 O 0.792 0.622 0.017
31 O 0.798 0.879 0.029
32 O 0.855 0.497 0.740
33 O 0.870 0.005 0.753
34 O 0.874 0.174 0.601

Calculated values
Space-group type: P2_1 (4)
E, eV per atom: -7.175
E above lowest polymorph, meV/atom: 0